BaAg2Au9: optimized geometry, PBE-GGA.

Summary:
- Total moment: 0.000 μB/f.u.
- Symmetry: R-3m
- Energy of formation from the pure elements: -194 meV per atom
- N(E_F): 2.30 states/eV/f.u.

Cell: 9.7527 9.7527 9.7527 Å, 33.64 33.64 33.64°
Fractional coordinates of all 12 atoms:
Ba (0.0000, 0.0000, 0.0000)
Ag (0.1524, 0.1524, 0.1524)
Ag (0.8476, 0.8476, 0.8476)
Au (0.0819, 0.5889, 0.5889)
Au (0.3335, 0.3335, 0.3335)
Au (0.4111, 0.4111, 0.9181)
Au (0.4111, 0.9181, 0.4111)
Au (0.5000, 0.5000, 0.5000)
Au (0.5889, 0.0819, 0.5889)
Au (0.5889, 0.5889, 0.0819)
Au (0.6665, 0.6665, 0.6665)
Au (0.9181, 0.4111, 0.4111)



AcTb2Pr5Er: optimized geometry, PBE-GGA.

Summary:
- Total moment: 0.000 μB/f.u.
- Symmetry: Cmc2_1
- Energy of formation from the pure elements: 140 meV per atom
- N(E_F): 11.42 states/eV/f.u.

Cell: 12.6505 12.6505 9.5535 Å, 90.00 90.00 154.38°
Fractional coordinates of all 18 atoms:
Ac (0.1023, 0.8977, 0.5000)
Ac (0.8977, 0.1023, 0.0000)
Tb (0.3258, 0.6742, 0.7502)
Tb (0.3877, 0.6123, 0.3549)
Tb (0.6123, 0.3877, 0.8549)
Tb (0.6742, 0.3258, 0.2502)
Pr (0.0242, 0.9758, 0.8275)
Pr (0.1072, 0.8928, 0.1050)
Pr (0.1903, 0.8097, 0.7948)
Pr (0.2414, 0.7586, 0.4340)
Pr (0.4899, 0.5101, 0.6098)
Pr (0.5101, 0.4899, 0.1098)
Pr (0.7586, 0.2414, 0.9340)
Pr (0.8097, 0.1903, 0.2948)
Pr (0.8928, 0.1072, 0.6050)
Pr (0.9758, 0.0242, 0.3275)
Er (0.2636, 0.7364, 0.1074)
Er (0.7364, 0.2636, 0.6074)



Pm2Zn16Ag: optimized geometry, PBE-GGA.

Summary:
- Total moment: 0.000 μB/f.u.
- Symmetry: R3m
- Energy of formation from the pure elements: -251 meV per atom
- N(E_F): 5.67 states/eV/f.u.

Cell: 6.8539 6.8539 6.8539 Å, 82.72 82.72 82.72°
Fractional coordinates of all 19 atoms:
Pm (0.0000, 0.0000, 0.0000)
Pm (0.3253, 0.3253, 0.3253)
Zn (0.0144, 0.0144, 0.5014)
Zn (0.0144, 0.5014, 0.0144)
Zn (0.1644, 0.6619, 0.6619)
Zn (0.3100, 0.3100, 0.8255)
Zn (0.3100, 0.8255, 0.3100)
Zn (0.3684, 0.6629, 0.9572)
Zn (0.3684, 0.9572, 0.6629)
Zn (0.5014, 0.0144, 0.0144)
Zn (0.5576, 0.5576, 0.5576)
Zn (0.6619, 0.1644, 0.6619)
Zn (0.6619, 0.6619, 0.1644)
Zn (0.6629, 0.3684, 0.9572)
Zn (0.6629, 0.9572, 0.3684)
Zn (0.8255, 0.3100, 0.3100)
Zn (0.9572, 0.3684, 0.6629)
Zn (0.9572, 0.6629, 0.3684)
Ag (0.7604, 0.7604, 0.7604)



ZrTlCo2W: optimized geometry, PBE-GGA.

Summary:
- Total moment: 2.362 μB/f.u.
- Symmetry: P4/mmm
- Energy of formation from the pure elements: 2083 meV per atom
- N(E_F): 8.44 states/eV/f.u.

Cell: 4.5805 4.5805 5.2695 Å, 90.00 90.00 90.00°
Fractional coordinates of all 5 atoms:
Zr (0.0000, 0.0000, 0.0000)
Tl (0.0000, 0.0000, 0.5000)
Co (0.0000, 0.5000, 0.5000)
Co (0.5000, 0.0000, 0.5000)
W (0.5000, 0.5000, 0.0000)



La2DyPaP4: optimized geometry, PBE-GGA.

Summary:
- Total moment: 0.001 μB/f.u.
- Symmetry: P2/m
- Energy of formation from the pure elements: -1523 meV per atom
- N(E_F): 4.68 states/eV/f.u.

Cell: 7.0852 4.1157 7.1844 Å, 90.00 109.34 90.00°
Fractional coordinates of all 8 atoms:
La (0.0000, 0.0000, 0.0000)
La (0.5000, 0.5000, 0.0000)
Dy (0.0000, 0.5000, 0.5000)
Pa (0.5000, 0.0000, 0.5000)
P (0.2496, 0.0000, 0.7307)
P (0.2609, 0.5000, 0.2715)
P (0.7391, 0.5000, 0.7285)
P (0.7504, 0.0000, 0.2693)



Dy5Hg: optimized geometry, PBE-GGA.

Summary:
- Total moment: 0.001 μB/f.u.
- Symmetry: P4/mmm
- Energy of formation from the pure elements: -144 meV per atom
- N(E_F): 8.48 states/eV/f.u.

Cell: 3.5658 3.5658 14.0081 Å, 90.00 90.00 90.00°
Fractional coordinates of all 6 atoms:
Dy (0.0000, 0.0000, 0.0000)
Dy (0.0000, 0.0000, 0.3561)
Dy (0.0000, 0.0000, 0.6439)
Dy (0.5000, 0.5000, 0.1776)
Dy (0.5000, 0.5000, 0.8224)
Hg (0.5000, 0.5000, 0.5000)



> Look up the N(E_F) of the fifth one.

4.68 states/eV/f.u.



> What is the total moment in the fourth record?

2.362 μB/f.u.



> What is the N(E_F) in the fourth record?

8.44 states/eV/f.u.